{
  "formula": "Na3Pa3IrN8",
  "functional": "PBE",
  "state": "optimized geometry",
  "total_magnetization_mub_per_cell": 0.00,
  "e_form_raw_ev_per_atom": -0.72,
  "cell": [[3.430, 1.980, 5.699], [-3.430, 1.980, 5.699], [0.000, -3.961, 5.699]],
  "species": ["Na", "Na", "Na", "Pa", "Pa", "Pa", "Ir", "N", "N", "N", "N", "N", "N", "N", "N"],
  "frac_coords": [[0.000, 0.500, 0.500], [0.500, 0.000, 0.500], [0.500, 0.500, 0.000], [0.000, 0.000, 0.500], [0.000, 0.500, 0.000], [0.500, 0.000, 0.000], [0.500, 0.500, 0.500], [0.231, 0.231, 0.231], [0.246, 0.716, 0.716], [0.284, 0.284, 0.754], [0.284, 0.754, 0.284], [0.716, 0.246, 0.716], [0.716, 0.716, 0.246], [0.754, 0.284, 0.284], [0.769, 0.769, 0.769]]
}

{
  "formula": "RbNa2IrN",
  "functional": "PBE",
  "state": "optimized geometry",
  "total_magnetization_mub_per_cell": 0.12,
  "e_form_raw_ev_per_atom": 0.16,
  "cell": [[5.427, 0.000, 0.000], [0.000, 5.427, 0.000], [0.000, 0.000, 3.815]],
  "species": ["Rb", "Na", "Na", "Ir", "N"],
  "frac_coords": [[0.000, 0.000, 0.000], [0.000, 0.500, 0.500], [0.500, 0.000, 0.500], [0.500, 0.500, 0.000], [0.500, 0.500, 0.500]]
}

{
  "formula": "NaIrS2N",
  "functional": "PBE",
  "state": "optimized geometry",
  "de_polymorph_mev_per_atom": 0,
  "total_magnetization_mub_per_cell": 0.48,
  "e_form_raw_ev_per_atom": 0.13,
  "cell": [[4.991, 0.000, 0.000], [0.000, 4.991, 0.000], [0.000, 0.000, 3.670]],
  "species": ["Na", "Ir", "S", "S", "N"],
  "frac_coords": [[0.000, 0.000, 0.000], [0.500, 0.500, 0.500], [0.000, 0.500, 0.500], [0.500, 0.000, 0.500], [0.500, 0.500, 0.000]]
}

{
  "formula": "NaIrS2N",
  "functional": "PBE",
  "state": "optimized geometry",
  "de_polymorph_mev_per_atom": 2096,
  "total_magnetization_mub_per_cell": 0.00,
  "e_form_raw_ev_per_atom": 2.22,
  "cell": [[4.691, 0.000, 0.000], [0.000, 4.691, 0.000], [0.000, 0.000, 3.910]],
  "species": ["Na", "Ir", "S", "S", "N"],
  "frac_coords": [[0.000, 0.000, 0.000], [0.500, 0.500, 0.500], [0.000, 0.500, 0.000], [0.500, 0.000, 0.000], [0.000, 0.000, 0.500]]
}

{
  "formula": "NaIr2SN",
  "functional": "PBE",
  "state": "optimized geometry",
  "total_magnetization_mub_per_cell": 1.71,
  "e_form_raw_ev_per_atom": 1.22,
  "cell": [[4.371, 0.000, 0.000], [0.000, 4.371, 0.000], [0.000, 0.000, 4.377]],
  "species": ["Na", "Ir", "Ir", "S", "N"],
  "frac_coords": [[0.000, 0.000, 0.000], [0.000, 0.500, 0.500], [0.500, 0.000, 0.500], [0.500, 0.500, 0.500], [0.500, 0.500, 0.000]]
}

{
  "formula": "NaSn2IrN",
  "functional": "PBE",
  "state": "optimized geometry",
  "total_magnetization_mub_per_cell": 0.97,
  "e_form_raw_ev_per_atom": 1.67,
  "cell": [[5.212, 0.000, 0.000], [0.000, 5.212, 0.000], [0.000, 0.000, 3.889]],
  "species": ["Na", "Sn", "Sn", "Ir", "N"],
  "frac_coords": [[0.000, 0.000, 0.000], [0.000, 0.500, 0.000], [0.500, 0.000, 0.000], [0.500, 0.500, 0.500], [0.000, 0.000, 0.500]]
}

{
  "formula": "NaSr2IrN2",
  "functional": "PBE",
  "state": "optimized geometry",
  "total_magnetization_mub_per_cell": 1.93,
  "e_form_raw_ev_per_atom": -0.26,
  "cell": [[6.475, 0.000, 0.000], [0.000, 8.228, 0.000], [0.000, 0.000, 4.536]],
  "species": ["Na", "Na", "Sr", "Sr", "Sr", "Sr", "Ir", "Ir", "N", "N", "N", "N"],
  "frac_coords": [[0.000, 0.000, 0.000], [0.500, 0.500, 0.500], [0.112, 0.253, 0.500], [0.388, 0.753, 0.000], [0.612, 0.247, 0.000], [0.888, 0.747, 0.500], [0.000, 0.500, 0.000], [0.500, 0.000, 0.500], [0.229, 0.903, 0.500], [0.271, 0.403, 0.000], [0.729, 0.597, 0.000], [0.771, 0.097, 0.500]]
}

{
  "formula": "NaTe2IrN",
  "functional": "PBE",
  "state": "optimized geometry",
  "de_polymorph_mev_per_atom": 1788,
  "total_magnetization_mub_per_cell": 2.54,
  "e_form_raw_ev_per_atom": 1.79,
  "cell": [[5.332, 0.000, 0.000], [0.000, 5.332, 0.000], [0.000, 0.000, 3.948]],
  "species": ["Na", "Te", "Te", "Ir", "N"],
  "frac_coords": [[0.000, 0.000, 0.000], [0.000, 0.500, 0.000], [0.500, 0.000, 0.000], [0.500, 0.500, 0.500], [0.000, 0.000, 0.500]]
}

{
  "formula": "NaTeIrN2",
  "functional": "PBE",
  "state": "optimized geometry",
  "de_polymorph_mev_per_atom": 1773,
  "total_magnetization_mub_per_cell": 5.53,
  "e_form_raw_ev_per_atom": 2.41,
  "cell": [[4.097, 0.000, 0.000], [0.000, 4.097, 0.000], [0.000, 0.000, 6.362]],
  "species": ["Na", "Te", "Ir", "N", "N"],
  "frac_coords": [[0.000, 0.000, 0.000], [0.000, 0.000, 0.500], [0.500, 0.500, 0.500], [0.000, 0.500, 0.000], [0.500, 0.000, 0.000]]
}

{
  "formula": "NaTeIrN2",
  "functional": "PBE",
  "state": "optimized geometry",
  "de_polymorph_mev_per_atom": 0,
  "total_magnetization_mub_per_cell": 0.00,
  "e_form_raw_ev_per_atom": 0.64,
  "cell": [[3.894, 0.000, 0.000], [0.000, 3.894, 0.000], [0.000, 0.000, 5.830]],
  "species": ["Na", "Te", "Ir", "N", "N"],
  "frac_coords": [[0.000, 0.000, 0.000], [0.500, 0.500, 0.000], [0.500, 0.500, 0.500], [0.000, 0.500, 0.500], [0.500, 0.000, 0.500]]
}

{
  "formula": "NaTe2IrN",
  "functional": "PBE",
  "state": "optimized geometry",
  "de_polymorph_mev_per_atom": 0,
  "total_magnetization_mub_per_cell": 0.00,
  "e_form_raw_ev_per_atom": 0.00,
  "cell": [[5.732, 0.000, 0.000], [0.000, 5.732, 0.000], [0.000, 0.000, 3.643]],
  "species": ["Na", "Te", "Te", "Ir", "N"],
  "frac_coords": [[0.000, 0.000, 0.000], [0.000, 0.500, 0.500], [0.500, 0.000, 0.500], [0.500, 0.500, 0.500], [0.500, 0.500, 0.000]]
}

{
  "formula": "Na3U3IrN8",
  "functional": "PBE",
  "state": "optimized geometry",
  "total_magnetization_mub_per_cell": 0.00,
  "e_form_raw_ev_per_atom": -0.72,
  "cell": [[3.380, 1.951, 5.655], [-3.380, 1.951, 5.655], [0.000, -3.903, 5.655]],
  "species": ["Na", "Na", "Na", "U", "U", "U", "Ir", "N", "N", "N", "N", "N", "N", "N", "N"],
  "frac_coords": [[0.000, 0.500, 0.500], [0.500, 0.000, 0.500], [0.500, 0.500, 0.000], [0.000, 0.000, 0.500], [0.000, 0.500, 0.000], [0.500, 0.000, 0.000], [0.500, 0.500, 0.500], [0.221, 0.729, 0.729], [0.230, 0.230, 0.230], [0.271, 0.271, 0.779], [0.271, 0.779, 0.271], [0.729, 0.221, 0.729], [0.729, 0.729, 0.221], [0.770, 0.770, 0.770], [0.779, 0.271, 0.271]]
}

{
  "formula": "Na2ZnIrN",
  "functional": "PBE",
  "state": "optimized geometry",
  "total_magnetization_mub_per_cell": 0.11,
  "e_form_raw_ev_per_atom": 0.01,
  "cell": [[5.057, 0.000, 0.000], [0.000, 5.057, 0.000], [0.000, 0.000, 3.720]],
  "species": ["Na", "Na", "Zn", "Ir", "N"],
  "frac_coords": [[0.000, 0.500, 0.000], [0.500, 0.000, 0.000], [0.000, 0.000, 0.500], [0.500, 0.500, 0.500], [0.500, 0.500, 0.000]]
}

{
  "formula": "NaZrIr2N",
  "functional": "PBE",
  "state": "optimized geometry",
  "total_magnetization_mub_per_cell": 2.41,
  "e_form_raw_ev_per_atom": 1.17,
  "cell": [[5.075, 0.000, 0.000], [0.000, 5.075, 0.000], [0.000, 0.000, 4.255]],
  "species": ["Na", "Zr", "Ir", "Ir", "N"],
  "frac_coords": [[0.000, 0.000, 0.000], [0.500, 0.500, 0.500], [0.000, 0.500, 0.500], [0.500, 0.000, 0.500], [0.500, 0.500, 0.000]]
}

{
  "formula": "Nb4Ir2N",
  "functional": "PBE",
  "state": "optimized geometry",
  "de_polymorph_mev_per_atom": 234,
  "total_magnetization_mub_per_cell": 0.00,
  "e_form_raw_ev_per_atom": -0.40,
  "cell": [[4.156, 0.000, 0.000], [0.000, 4.156, 0.000], [0.000, 0.000, 13.420]],
  "species": ["Nb", "Nb", "Nb", "Nb", "Nb", "Nb", "Nb", "Nb", "Ir", "Ir", "Ir", "Ir", "N", "N"],
  "frac_coords": [[0.000, 0.000, 0.178], [0.000, 0.000, 0.822], [0.000, 0.500, 0.000], [0.000, 0.500, 0.500], [0.500, 0.000, 0.000], [0.500, 0.000, 0.500], [0.500, 0.500, 0.322], [0.500, 0.500, 0.678], [0.000, 0.000, 0.363], [0.000, 0.000, 0.637], [0.500, 0.500, 0.137], [0.500, 0.500, 0.863], [0.000, 0.000, 0.000], [0.500, 0.500, 0.500]]
}

{
  "formula": "NbIrN3",
  "functional": "PBE",
  "state": "optimized geometry",
  "total_magnetization_mub_per_cell": 0.00,
  "e_form_raw_ev_per_atom": 1.11,
  "cell": [[3.835, 0.000, 0.000], [0.000, 3.835, 0.000], [0.000, 0.000, 3.835]],
  "species": ["Nb", "Ir", "N", "N", "N"],
  "frac_coords": [[0.000, 0.000, 0.000], [0.500, 0.500, 0.500], [0.000, 0.500, 0.500], [0.500, 0.000, 0.500], [0.500, 0.500, 0.000]]
}

{
  "formula": "Nb3IrN",
  "functional": "PBE",
  "state": "optimized geometry",
  "total_magnetization_mub_per_cell": 0.00,
  "e_form_raw_ev_per_atom": -0.61,
  "cell": [[4.230, 0.000, 0.000], [0.000, 4.230, 0.000], [0.000, 0.000, 4.230]],
  "species": ["Nb", "Nb", "Nb", "Ir", "N"],
  "frac_coords": [[0.000, 0.000, 0.500], [0.000, 0.500, 0.000], [0.500, 0.000, 0.000], [0.500, 0.500, 0.500], [0.000, 0.000, 0.000]]
}

{
  "formula": "NbIrN3",
  "functional": "PBE",
  "state": "optimized geometry",
  "total_magnetization_mub_per_cell": 0.00,
  "e_form_raw_ev_per_atom": 1.37,
  "cell": [[4.021, 0.000, 0.000], [0.000, 4.021, 0.000], [0.000, 0.000, 4.021]],
  "species": ["Nb", "Ir", "N", "N", "N"],
  "frac_coords": [[0.000, 0.000, 0.000], [0.500, 0.500, 0.500], [0.000, 0.000, 0.500], [0.000, 0.500, 0.000], [0.500, 0.000, 0.000]]
}

{
  "formula": "Nb4Ir2N",
  "functional": "PBE",
  "state": "optimized geometry",
  "de_polymorph_mev_per_atom": 0,
  "total_magnetization_mub_per_cell": 0.00,
  "e_form_raw_ev_per_atom": -0.63,
  "cell": [[0.000, 6.003, 6.003], [6.003, 0.000, 6.003], [6.003, 6.003, 0.000]],
  "species": ["Nb", "Nb", "Nb", "Nb", "Nb", "Nb", "Nb", "Nb", "Nb", "Nb", "Nb", "Nb", "Nb", "Nb", "Nb", "Nb", "Ir", "Ir", "Ir", "Ir", "Ir", "Ir", "Ir", "Ir", "N", "N", "N", "N"],
  "frac_coords": [[0.000, 0.000, 0.000], [0.000, 0.000, 0.500], [0.000, 0.500, 0.000], [0.192, 0.192, 0.558], [0.192, 0.558, 0.192], [0.192, 0.558, 0.558], [0.442, 0.442, 0.808], [0.442, 0.808, 0.442], [0.442, 0.808, 0.808], [0.500, 0.000, 0.000], [0.558, 0.192, 0.192], [0.558, 0.192, 0.558], [0.558, 0.558, 0.192], [0.808, 0.442, 0.442], [0.808, 0.442, 0.808], [0.808, 0.808, 0.442], [0.140, 0.787, 0.787], [0.213, 0.213, 0.213], [0.213, 0.213, 0.860], [0.213, 0.860, 0.213], [0.787, 0.140, 0.787], [0.787, 0.787, 0.140], [0.787, 0.787, 0.787], [0.860, 0.213, 0.213], [0.000, 0.500, 0.500], [0.500, 0.000, 0.500], [0.500, 0.500, 0.000], [0.500, 0.500, 0.500]]
}

{
  "formula": "Nb3IrN",
  "functional": "PBE",
  "state": "optimized geometry",
  "total_magnetization_mub_per_cell": 0.00,
  "e_form_raw_ev_per_atom": 1.98,
  "cell": [[4.838, 0.000, 0.000], [0.000, 4.838, 0.000], [0.000, 0.000, 4.838]],
  "species": ["Nb", "Nb", "Nb", "Ir", "N"],
  "frac_coords": [[0.000, 0.000, 0.500], [0.000, 0.500, 0.000], [0.500, 0.000, 0.000], [0.000, 0.000, 0.000], [0.500, 0.500, 0.500]]
}